1.
{
  "formula": "U3O5",
  "functional": "PBE-GGA",
  "state": "optimized geometry",
  "cell": [[3.8306, 0.0000, 0.0000], [-1.9153, 3.3174, 0.0000], [0.0000, 0.0000, 9.4260]],
  "species": ["U", "U", "U", "O", "O", "O", "O", "O"],
  "fractional_positions": [[0.0000, 0.0000, 0.0000], [0.3333, 0.6667, 0.6571], [0.6667, 0.3333, 0.3290], [0.0000, 0.0000, 0.2420], [0.0000, 0.0000, 0.7617], [0.3333, 0.6667, 0.4140], [0.6667, 0.3333, 0.0544], [0.6667, 0.3333, 0.5798]],
  "spacegroup": "P3m1, No. 156",
  "energy_ev_per_cell": -82.6,
  "formation_energy_uncorrected_ev_per_atom": -2.996
}

2.
{
  "formula": "BaTl2Tc",
  "functional": "PBE-GGA",
  "state": "optimized geometry",
  "cell": [[4.9058, 0.0000, 0.0000], [0.0000, 4.9058, 0.0000], [0.0000, 0.0000, 9.6612]],
  "species": ["Ba", "Ba", "Tl", "Tl", "Tl", "Tl", "Tc", "Tc"],
  "fractional_positions": [[0.0000, 0.0000, 0.0000], [0.5000, 0.5000, 0.5000], [0.0000, 0.0000, 0.5000], [0.0000, 0.5000, 0.2500], [0.5000, 0.0000, 0.7500], [0.5000, 0.5000, 0.0000], [0.0000, 0.5000, 0.7500], [0.5000, 0.0000, 0.2500]],
  "ef_mev_per_atom": 653,
  "spacegroup": "I-4m2, No. 119",
  "relative_energy_mev_per_atom": 302,
  "energy_ev_per_cell": -28.8
}

3.
{
  "formula": "HoZn11Cr",
  "functional": "PBE-GGA",
  "state": "optimized geometry",
  "cell": [[2.6387, -6.2704, 0.0000], [2.6387, 6.2704, 0.0000], [-2.5755, 0.0000, 6.2453]],
  "species": ["Ho", "Zn", "Zn", "Zn", "Zn", "Zn", "Zn", "Zn", "Zn", "Zn", "Zn", "Zn", "Cr"],
  "fractional_positions": [[0.0000, 0.0000, 0.0000], [0.0000, 0.5000, 0.0000], [0.0110, 0.6620, 0.6473], [0.2805, 0.4986, 0.7834], [0.3380, 0.9890, 0.3527], [0.4986, 0.2805, 0.7834], [0.5000, 0.0000, 0.0000], [0.5000, 0.5000, 0.5000], [0.5014, 0.7195, 0.2166], [0.6620, 0.0110, 0.6473], [0.7195, 0.5014, 0.2166], [0.9890, 0.3380, 0.3527], [0.0000, 0.0000, 0.5000]],
  "ef_mev_per_atom": -107,
  "spacegroup": "C2/m, No. 12",
  "energy_ev_per_cell": -29.6
}

4.
{
  "formula": "TcSbTe2P",
  "functional": "PBE-GGA",
  "state": "optimized geometry",
  "cell": [[5.1209, 0.0000, 0.0000], [0.0000, 5.1209, 0.0000], [0.0000, 0.0000, 5.1864]],
  "species": ["Tc", "Sb", "Te", "Te", "P"],
  "fractional_positions": [[0.0000, 0.0000, 0.0000], [0.0000, 0.0000, 0.5000], [0.0000, 0.5000, 0.0000], [0.5000, 0.0000, 0.0000], [0.5000, 0.5000, 0.5000]],
  "spacegroup": "P4/mmm, No. 123",
  "relative_energy_mev_per_atom": 64,
  "energy_ev_per_cell": -22.1,
  "formation_energy_uncorrected_ev_per_atom": 0.815
}

5.
{
  "formula": "Mg4Ga4Ag3",
  "functional": "PBE-GGA",
  "state": "optimized geometry",
  "cell": [[3.1481, 0.0000, 0.0000], [-0.0055, 4.3969, 0.0000], [-1.1209, -2.1240, 14.8943]],
  "species": ["Mg", "Mg", "Mg", "Mg", "Ga", "Ga", "Ga", "Ga", "Ag", "Ag", "Ag"],
  "fractional_positions": [[0.0328, 0.0519, 0.1041], [0.1169, 0.6732, 0.3523], [0.8831, 0.3268, 0.6477], [0.9672, 0.9481, 0.8959], [0.3484, 0.7712, 0.5412], [0.4410, 0.4124, 0.8206], [0.5590, 0.5876, 0.1794], [0.6516, 0.2288, 0.4588], [0.3989, 0.8635, 0.7205], [0.5000, 0.5000, 0.0000], [0.6011, 0.1365, 0.2795]],
  "ef_mev_per_atom": -145,
  "spacegroup": "P-1, No. 2",
  "energy_ev_per_cell": -28.6
}

6.
{
  "formula": "DyMnV2",
  "functional": "PBE-GGA",
  "state": "optimized geometry",
  "cell": [[4.0052, 0.0000, 0.0000], [-2.0026, 3.4686, 0.0000], [0.0000, 0.0000, 15.7618]],
  "species": ["Dy", "Dy", "Dy", "Mn", "Mn", "Mn", "V", "V", "V", "V", "V", "V"],
  "fractional_positions": [[0.0000, 0.0000, 0.0000], [0.3333, 0.6667, 0.6667], [0.6667, 0.3333, 0.3333], [0.0000, 0.0000, 0.5000], [0.3333, 0.6667, 0.1667], [0.6667, 0.3333, 0.8333], [0.0000, 0.0000, 0.2020], [0.0000, 0.0000, 0.7980], [0.3333, 0.6667, 0.4647], [0.3333, 0.6667, 0.8687], [0.6667, 0.3333, 0.1313], [0.6667, 0.3333, 0.5353]],
  "ef_mev_per_atom": 286,
  "spacegroup": "R-3m, No. 166",
  "energy_ev_per_cell": -92.6
}

7.
{
  "formula": "MoOs2",
  "functional": "PBE-GGA",
  "state": "optimized geometry",
  "cell": [[7.5064, 0.0000, 0.0000], [-3.7532, 6.5007, 0.0000], [0.0000, 0.0000, 2.7517]],
  "species": ["Mo", "Mo", "Mo", "Os", "Os", "Os", "Os", "Os", "Os"],
  "fractional_positions": [[0.0000, 0.0000, 0.0000], [0.3333, 0.6667, 0.5000], [0.6667, 0.3333, 0.5000], [0.0000, 0.3064, 0.5000], [0.0000, 0.6402, 0.0000], [0.3064, 0.0000, 0.5000], [0.3598, 0.3598, 0.0000], [0.6402, 0.0000, 0.0000], [0.6936, 0.6936, 0.5000]],
  "ef_mev_per_atom": 113,
  "spacegroup": "P-62m, No. 189",
  "relative_energy_mev_per_atom": 132,
  "energy_ev_per_cell": -98.9
}

8.
{
  "formula": "BaLi2BiBr8",
  "functional": "PBE-GGA",
  "state": "optimized geometry",
  "cell": [[6.9558, 0.0000, 0.0000], [-3.4779, 6.0239, 0.0000], [0.0000, 0.0000, 9.3142]],
  "species": ["Ba", "Li", "Li", "Bi", "Br", "Br", "Br", "Br", "Br", "Br", "Br", "Br"],
  "fractional_positions": [[0.0000, 0.0000, 0.0000], [0.3333, 0.6667, 0.7353], [0.6667, 0.3333, 0.2647], [0.0000, 0.0000, 0.5000], [0.0228, 0.6983, 0.3043], [0.3017, 0.3245, 0.3043], [0.3245, 0.0228, 0.6957], [0.3333, 0.6667, 0.0014], [0.6667, 0.3333, 0.9986], [0.6755, 0.9772, 0.3043], [0.6983, 0.6755, 0.6957], [0.9772, 0.3017, 0.6957]],
  "spacegroup": "P-3, No. 147",
  "energy_ev_per_cell": -37.1,
  "formation_energy_uncorrected_ev_per_atom": -1.177
}

9.
{
  "formula": "CdAsCl2",
  "functional": "PBE-GGA",
  "state": "optimized geometry",
  "cell": [[3.2193, 0.0000, 0.0000], [0.0000, 4.2682, 0.0000], [0.0000, 0.0000, 6.3268]],
  "species": ["Cd", "As", "Cl", "Cl"],
  "fractional_positions": [[0.0000, 0.0000, 0.0000], [0.0000, 0.0000, 0.5000], [0.5000, 0.5000, 0.2538], [0.5000, 0.5000, 0.7462]],
  "spacegroup": "Pmmm, No. 47",
  "relative_energy_mev_per_atom": 539,
  "energy_ev_per_cell": -8.7,
  "formation_energy_uncorrected_ev_per_atom": 0.137
}

10.
{
  "formula": "CePaSi2",
  "functional": "PBE-GGA",
  "state": "optimized geometry",
  "cell": [[4.2654, 0.0000, 0.0000], [0.0000, 3.9011, 0.0000], [-2.1424, 0.0000, 5.3164]],
  "species": ["Ce", "Pa", "Si", "Si"],
  "fractional_positions": [[0.0000, 0.0000, 0.0000], [0.2834, 0.5000, 0.5642], [0.5718, 0.5000, 0.1432], [0.7223, 0.0000, 0.4424]],
  "spacegroup": "Pm, No. 6",
  "relative_energy_mev_per_atom": 0,
  "energy_ev_per_cell": -28.4,
  "formation_energy_uncorrected_ev_per_atom": -0.520
}

11.
{
  "formula": "KCeDy2",
  "functional": "PBE-GGA",
  "state": "optimized geometry",
  "cell": [[4.2654, 0.0000, 0.0000], [-2.1327, 3.6939, 0.0000], [0.0000, 0.0000, 32.2723]],
  "species": ["K", "K", "K", "Ce", "Ce", "Ce", "Dy", "Dy", "Dy", "Dy", "Dy", "Dy"],
  "fractional_positions": [[0.0000, 0.0000, 0.0000], [0.3333, 0.6667, 0.6667], [0.6667, 0.3333, 0.3333], [0.0000, 0.0000, 0.5000], [0.3333, 0.6667, 0.1667], [0.6667, 0.3333, 0.8333], [0.0000, 0.0000, 0.1176], [0.0000, 0.0000, 0.8824], [0.3333, 0.6667, 0.5491], [0.3333, 0.6667, 0.7843], [0.6667, 0.3333, 0.2157], [0.6667, 0.3333, 0.4509]],
  "ef_mev_per_atom": 869,
  "spacegroup": "R-3m, No. 166",
  "energy_ev_per_cell": -38.3
}

12.
{
  "formula": "K2SrCl4",
  "functional": "PBE-GGA",
  "state": "optimized geometry",
  "cell": [[14.9862, 0.0000, 0.0000], [0.0000, 4.4091, 0.0000], [-3.6722, 0.0000, 7.2452]],
  "species": ["K", "K", "K", "K", "Sr", "Sr", "Cl", "Cl", "Cl", "Cl", "Cl", "Cl", "Cl", "Cl"],
  "fractional_positions": [[0.1953, 0.0000, 0.1833], [0.3047, 0.5000, 0.8167], [0.6953, 0.5000, 0.1833], [0.8047, 0.0000, 0.8167], [0.0000, 0.5000, 0.5000], [0.5000, 0.0000, 0.5000], [0.1098, 0.5000, 0.8929], [0.1353, 0.0000, 0.5118], [0.3647, 0.5000, 0.4882], [0.3902, 0.0000, 0.1071], [0.6098, 0.0000, 0.8929], [0.6353, 0.5000, 0.5118], [0.8647, 0.0000, 0.4882], [0.8902, 0.5000, 0.1071]],
  "spacegroup": "C2/m, No. 12",
  "relative_energy_mev_per_atom": 39,
  "energy_ev_per_cell": -52.7,
  "formation_energy_uncorrected_ev_per_atom": -2.154
}